This record from the Alexandria database describes a geometry-optimized Y2BeBr structure. The functional is GGA-PBE. Values from VASP.

```
&SYSTEM
  ibrav = 0, nat = 12, ntyp = 3
/
ATOMIC_SPECIES
Y 88.91 Y.upf
Be 9.01 Be.upf
Br 79.90 Br.upf
CELL_PARAMETERS angstrom
3.895 0.000 0.000
-1.947 3.373 0.000
0.000 0.000 22.373
ATOMIC_POSITIONS crystal
Y 0.000 0.000 0.237
Y 0.000 0.000 0.763
Y 0.333 0.667 0.430
Y 0.333 0.667 0.904
Y 0.667 0.333 0.096
Y 0.667 0.333 0.570
Be 0.000 0.000 0.500
Be 0.333 0.667 0.167
Be 0.667 0.333 0.833
Br 0.000 0.000 0.000
Br 0.333 0.667 0.667
Br 0.667 0.333 0.333
```

Computed properties:
Relative energy among the computed polymorphs = 0.0 meV per atom
Magnetization = 0.0 μB/cell
N(E_F) = 8.7 states/eV/cell
E_tot = -5.0905 eV per atom
Formation energy without anion corrections = -508.7 meV per atom